VASP calculation (PBE) on SrTl4Cl6 after structural relaxation.

**N(E_F)**: 0.000 states/eV/atom
**Formation energy without anion corrections**: -15.31 eV per formula unit
**Mass density**: 5.01 Mg/m³

POSCAR file:
```
SrTl4Cl6
1.0
6.4203 3.7067 5.1891
-6.4203 3.7067 5.1891
0.0000 -7.4135 5.1891
Sr Tl Cl
2 8 12
direct
0.0000 0.0000 0.0000
0.5000 0.5000 0.5000
0.1083 0.7500 0.3917
0.2500 0.2500 0.2500
0.2500 0.6083 0.8917
0.3917 0.1083 0.7500
0.6083 0.8917 0.2500
0.7500 0.3917 0.1083
0.7500 0.7500 0.7500
0.8917 0.2500 0.6083
0.0549 0.9289 0.6945
0.0711 0.3055 0.9451
0.1945 0.4289 0.5549
0.3055 0.9451 0.0711
0.4289 0.5549 0.1945
0.4451 0.8055 0.5711
0.5549 0.1945 0.4289
0.5711 0.4451 0.8055
0.6945 0.0549 0.9289
0.8055 0.5711 0.4451
0.9289 0.6945 0.0549
0.9451 0.0711 0.3055
```

VASP calculation (PBE) on SrTlCl2 after structural relaxation.

**Relative energy among the computed polymorphs**: 295 meV per atom
**N(E_F)**: 0.554 states/eV/atom
**Formation energy without anion corrections**: -5.28 eV per formula unit
**Mass density**: 5.32 Mg/m³

POSCAR file:
```
SrTlCl2
1.0
-2.5743 2.5743 4.2694
2.5743 -2.5743 4.2694
2.5743 2.5743 -4.2694
Sr Tl Cl
1 1 2
direct
0.0000 0.0000 0.0000
0.5000 0.5000 0.0000
0.2500 0.7500 0.5000
0.7500 0.2500 0.5000
```

VASP calculation (PBE) on Sr2TlCl5 after structural relaxation.

**Relative energy among the computed polymorphs**: 0 meV per atom
**N(E_F)**: 0.000 states/eV/atom
**Formation energy without anion corrections**: -16.96 eV per formula unit
**Mass density**: 3.96 Mg/m³

POSCAR file:
```
Sr2TlCl5
1.0
9.0515 0.0000 0.0000
0.0000 7.9697 0.0000
-0.0115 0.0000 12.9325
Sr Tl Cl
8 4 20
direct
0.0033 0.0184 0.1780
0.0033 0.4816 0.6780
0.2475 0.0654 0.4953
0.2475 0.4346 0.9953
0.7525 0.5654 0.0047
0.7525 0.9346 0.5047
0.9967 0.5184 0.3220
0.9967 0.9816 0.8220
0.4850 0.5317 0.3307
0.4850 0.9683 0.8307
0.5150 0.0317 0.1693
0.5150 0.4683 0.6693
0.0372 0.6571 0.1025
0.0372 0.8429 0.6025
0.2091 0.6734 0.8203
0.2091 0.8266 0.3203
0.2117 0.0520 0.9970
0.2117 0.4480 0.4970
0.2251 0.1936 0.7151
0.2251 0.3064 0.2151
0.4694 0.6587 0.0933
0.4694 0.8413 0.5933
0.5306 0.1587 0.4067
0.5306 0.3413 0.9067
0.7749 0.6936 0.7849
0.7749 0.8064 0.2849
0.7883 0.5520 0.5030
0.7883 0.9480 0.0030
0.7909 0.1734 0.6797
0.7909 0.3266 0.1797
0.9628 0.1571 0.3975
0.9628 0.3429 0.8975
```

VASP calculation (PBE) on SrTlCl2 after structural relaxation.

**Relative energy among the computed polymorphs**: 198 meV per atom
**N(E_F)**: 0.489 states/eV/atom
**Formation energy without anion corrections**: -5.67 eV per formula unit
**Mass density**: 4.17 Mg/m³

POSCAR file:
```
SrTlCl2
1.0
5.7957 0.0000 0.0000
0.0000 4.2406 0.0000
-1.0203 0.0000 5.8851
Sr Tl Cl
1 1 2
direct
0.0000 0.0000 0.0000
0.5000 0.0000 0.5000
0.2137 0.5000 0.7835
0.7863 0.5000 0.2165
```

VASP calculation (PBE) on Sr2TmTlCl8 after structural relaxation.

**N(E_F)**: 0.000 states/eV/atom
**Formation energy without anion corrections**: -25.81 eV per formula unit
**Mass density**: 3.45 Mg/m³

POSCAR file:
```
Sr2TmTlCl8
1.0
6.5360 0.0000 0.0000
0.0000 9.0674 0.0000
-0.0086 0.0000 6.7554
Sr Tm Tl Cl
2 1 1 8
direct
0.0000 0.2490 0.0000
0.0000 0.7510 0.0000
0.5000 0.0000 0.5000
0.5000 0.5000 0.5000
0.2245 0.5000 0.8652
0.2426 0.0000 0.8096
0.2790 0.2051 0.3355
0.2790 0.7949 0.3355
0.7210 0.2051 0.6645
0.7210 0.7949 0.6645
0.7574 0.0000 0.1904
0.7755 0.5000 0.1348
```

VASP calculation (PBE) on SrUTlCl6 after structural relaxation.

**Formation energy without anion corrections**: -16.21 eV per formula unit
**Mass density**: 3.76 Mg/m³

POSCAR file:
```
SrUTlCl6
1.0
7.5091 0.0000 0.0000
-3.7545 6.5030 0.0000
0.0000 0.0000 13.4431
Sr U Tl Cl
2 2 2 12
direct
0.3333 0.6667 0.2500
0.6667 0.3333 0.7500
0.3333 0.6667 0.7500
0.6667 0.3333 0.2500
0.0000 0.0000 0.0000
0.0000 0.0000 0.5000
0.0151 0.3730 0.6359
0.0151 0.6420 0.8641
0.3580 0.3730 0.8641
0.3580 0.9849 0.6359
0.3730 0.0151 0.1359
0.3730 0.3580 0.3641
0.6270 0.6420 0.6359
0.6270 0.9849 0.8641
0.6420 0.0151 0.3641
0.6420 0.6270 0.1359
0.9849 0.3580 0.1359
0.9849 0.6270 0.3641
```

VASP calculation (PBE) on SrUTl2Cl8 after structural relaxation.

**N(E_F)**: 0.335 states/eV/atom
**Formation energy without anion corrections**: -20.06 eV per formula unit
**Mass density**: 3.80 Mg/m³

POSCAR file:
```
SrUTl2Cl8
1.0
7.0894 0.0000 0.0000
-0.3211 7.1049 0.0000
-0.0123 -0.0204 8.8311
Sr U Tl Cl
1 1 2 8
direct
0.0000 0.0000 0.0000
0.0000 0.0000 0.5000
0.4997 0.4987 0.7561
0.5003 0.5013 0.2439
0.1297 0.7902 0.7254
0.1312 0.7911 0.2740
0.3125 0.1989 0.4985
0.3225 0.2547 0.0001
0.6775 0.7453 0.9999
0.6875 0.8011 0.5015
0.8688 0.2089 0.7260
0.8703 0.2098 0.2746
```

VASP calculation (PBE) on SrTl2VCl6 after structural relaxation.

**Formation energy without anion corrections**: -14.69 eV per formula unit
**Mass density**: 4.33 Mg/m³

POSCAR file:
```
SrTl2VCl6
1.0
7.3202 0.0000 0.0000
3.4194 6.4750 0.0000
3.4182 2.0702 6.1555
Sr Tl V Cl
1 2 1 6
direct
0.0000 0.0000 0.0000
0.2698 0.2686 0.2705
0.7302 0.7314 0.7295
0.5000 0.5000 0.5000
0.1957 0.3414 0.7170
0.2786 0.8036 0.6596
0.3424 0.7213 0.1951
0.6576 0.2787 0.8049
0.7214 0.1964 0.3404
0.8043 0.6586 0.2830
```

VASP calculation (PBE) on SrTlVCl6 after structural relaxation.

**N(E_F)**: 1.202 states/eV/atom
**Formation energy without anion corrections**: -14.25 eV per formula unit
**Mass density**: 3.22 Mg/m³

POSCAR file:
```
SrTlVCl6
1.0
7.0720 0.0000 0.0000
-3.5360 6.1245 0.0000
0.0000 0.0000 13.2292
Sr Tl V Cl
2 2 2 12
direct
0.3333 0.6667 0.2500
0.6667 0.3333 0.7500
0.0000 0.0000 0.0000
0.0000 0.0000 0.5000
0.3333 0.6667 0.7500
0.6667 0.3333 0.2500
0.0528 0.3956 0.6434
0.0528 0.6572 0.8566
0.3428 0.3956 0.8566
0.3428 0.9472 0.6434
0.3956 0.0528 0.1434
0.3956 0.3428 0.3566
0.6044 0.6572 0.6434
0.6044 0.9472 0.8566
0.6572 0.0528 0.3566
0.6572 0.6044 0.1434
0.9472 0.3428 0.1434
0.9472 0.6044 0.3566
```

VASP calculation (PBE) on SrTlWCl2 after structural relaxation.

**N(E_F)**: 0.700 states/eV/atom
**Formation energy without anion corrections**: 1.03 eV per formula unit
**Mass density**: 6.03 Mg/m³

POSCAR file:
```
SrTlWCl2
1.0
4.7507 0.0000 0.0000
0.0000 4.7507 0.0000
0.0000 0.0000 6.6702
Sr Tl W Cl
1 1 1 2
direct
0.0000 0.0000 0.0000
0.5000 0.5000 0.0000
0.0000 0.0000 0.5000
0.0000 0.5000 0.5000
0.5000 0.0000 0.5000
```

VASP calculation (PBE) on SrTlZnCl5 after structural relaxation.

**N(E_F)**: 0.000 states/eV/atom
**Formation energy without anion corrections**: -12.91 eV per formula unit
**Mass density**: 3.34 Mg/m³

POSCAR file:
```
SrTlZnCl5
1.0
4.6289 -6.1432 0.0000
4.6289 6.1432 0.0000
-4.1109 0.0000 9.3610
Sr Tl Zn Cl
2 2 2 10
direct
0.0000 0.0000 0.0000
0.0000 0.0000 0.5000
0.3455 0.6545 0.7500
0.6545 0.3455 0.2500
0.3172 0.6828 0.2500
0.6828 0.3172 0.7500
0.0888 0.6669 0.3610
0.0968 0.9032 0.7500
0.2582 0.4005 0.0746
0.3331 0.9112 0.1390
0.4005 0.2582 0.5746
0.5995 0.7418 0.4254
0.6669 0.0888 0.8610
0.7418 0.5995 0.9254
0.9032 0.0968 0.2500
0.9112 0.3331 0.6390
```

VASP calculation (PBE) on SrZrTlCl2 after structural relaxation.

**N(E_F)**: 2.488 states/eV/atom
**Formation energy without anion corrections**: 1.75 eV per formula unit
**Mass density**: 3.60 Mg/m³

POSCAR file:
```
SrZrTlCl2
1.0
5.6899 0.0000 0.0000
0.0000 5.6899 0.0000
0.0000 0.0000 6.4649
Sr Zr Tl Cl
1 1 1 2
direct
0.0000 0.0000 0.0000
0.5000 0.5000 0.0000
0.0000 0.0000 0.5000
0.0000 0.5000 0.5000
0.5000 0.0000 0.5000
```

Number 1: magnetic moment 0.0000 μB per atom. Number 2: magnetic moment 0.0001 μB per atom. Number 3: magnetic moment 0.0000 μB per atom. Number 4: magnetic moment 0.0001 μB per atom. Number 5: magnetic moment 0.0000 μB per atom. Number 6: magnetic moment 0.3333 μB per atom. Number 7: magnetic moment 0.1667 μB per atom. Number 8: magnetic moment 0.3000 μB per atom. Number 9: magnetic moment 0.2222 μB per atom. Number 10: magnetic moment 0.0000 μB per atom. Number 11: magnetic moment 0.0000 μB per atom. Number 12: magnetic moment 0.6172 μB per atom.